(1)
Cs2CdCu | PBE | relaxed

## Properties
**Polymorph energy (0 for the lowest one)**: 0 meV per atom
**Total energy**: -5.608 eV per cell

Cell lengths 6.4373, 6.4373, 6.4373 Å; angles 60.00, 60.00, 60.00 degrees
Fractional positions:
Cs 0.2500 0.2500 0.2500
Cs 0.7500 0.7500 0.7500
Cd 0.0000 0.0000 0.0000
Cu 0.5000 0.5000 0.5000



(2)
Cs3CdCu2F9 | PBE | relaxed

## Properties
**Formation energy without anion corrections**: -2158 meV/atom
**Total energy**: -60.875 eV per cell

Cell lengths 6.1415, 6.1415, 7.5304 Å; angles 90.00, 90.00, 120.00 degrees
Fractional positions:
Cs 0.0000 0.0000 0.0000
Cs 0.3333 0.6667 0.6673
Cs 0.6667 0.3333 0.3327
Cd 0.0000 0.0000 0.5000
Cu 0.3333 0.6667 0.1560
Cu 0.6667 0.3333 0.8440
F 0.0000 0.5000 0.0000
F 0.1748 0.3496 0.3207
F 0.1748 0.8252 0.3207
F 0.3496 0.1748 0.6793
F 0.5000 0.0000 0.0000
F 0.5000 0.5000 0.0000
F 0.6504 0.8252 0.3207
F 0.8252 0.1748 0.6793
F 0.8252 0.6504 0.6793



(3)
Cs3Cd2CuF9 | PBE | relaxed

## Properties
**Formation energy without anion corrections**: -2304 meV/atom
**Total energy**: -59.882 eV per cell

Cell lengths 6.2867, 6.2867, 7.7153 Å; angles 90.00, 90.00, 120.00 degrees
Fractional positions:
Cs 0.0000 0.0000 0.0000
Cs 0.3333 0.6667 0.6664
Cs 0.6667 0.3333 0.3336
Cd 0.3333 0.6667 0.1780
Cd 0.6667 0.3333 0.8220
Cu 0.0000 0.0000 0.5000
F 0.0000 0.5000 0.0000
F 0.1583 0.3166 0.3446
F 0.1583 0.8417 0.3446
F 0.3166 0.1583 0.6554
F 0.5000 0.0000 0.0000
F 0.5000 0.5000 0.0000
F 0.6834 0.8417 0.3446
F 0.8417 0.1583 0.6554
F 0.8417 0.6834 0.6554



(4)
CsCdCu2F8 | PBE | relaxed

## Properties
**Formation energy without anion corrections**: -1755 meV/atom
**Total energy**: -45.991 eV per cell

Cell lengths 8.3137, 8.3137, 8.3137 Å; angles 40.28, 40.28, 40.28 degrees
Fractional positions:
Cs 0.0000 0.0000 0.0000
Cd 0.5000 0.5000 0.5000
Cu 0.2368 0.2368 0.2368
Cu 0.7632 0.7632 0.7632
F 0.1109 0.7677 0.4603
F 0.2323 0.5397 0.8891
F 0.3162 0.3162 0.3162
F 0.4603 0.1109 0.7677
F 0.5397 0.8891 0.2323
F 0.6838 0.6838 0.6838
F 0.7677 0.4603 0.1109
F 0.8891 0.2323 0.5397



(5)
CsCd2GaCu | PBE | relaxed

## Properties
**Total energy**: -9.342 eV per cell

Cell lengths 5.3379, 5.3379, 4.9482 Å; angles 90.00, 90.00, 90.00 degrees
Fractional positions:
Cs 0.0000 0.0000 0.0000
Cd 0.0000 0.5000 0.5000
Cd 0.5000 0.0000 0.5000
Ga 0.5000 0.5000 0.0000
Cu 0.5000 0.5000 0.5000



(6)
CsCdCu2H | PBE | relaxed

## Properties
**Total energy**: -6.802 eV per cell

Cell lengths 5.7664, 5.7664, 4.1108 Å; angles 90.00, 90.00, 90.00 degrees
Fractional positions:
Cs 0.0000 0.0000 0.0000
Cd 0.5000 0.5000 0.5000
Cu 0.0000 0.5000 0.0000
Cu 0.5000 0.0000 0.0000
H 0.0000 0.0000 0.5000



(7)
CsCdCuHg2 | PBE | relaxed

## Properties
**Total energy**: -6.655 eV per cell

Cell lengths 5.3869, 5.3869, 5.2968 Å; angles 90.00, 90.00, 90.00 degrees
Fractional positions:
Cs 0.0000 0.0000 0.0000
Cd 0.5000 0.5000 0.0000
Cu 0.5000 0.5000 0.5000
Hg 0.0000 0.5000 0.5000
Hg 0.5000 0.0000 0.5000



(8)
CsCd3Cu4I12 | PBE | relaxed

## Properties
**Formation energy without anion corrections**: -404 meV/atom
**Total energy**: -46.658 eV per cell

Cell lengths 9.8615, 9.8615, 9.8615 Å; angles 105.42, 105.42, 105.42 degrees
Fractional positions:
Cs 0.0000 0.0000 0.0000
Cd 0.0000 0.5624 0.4376
Cd 0.4376 0.0000 0.5624
Cd 0.5624 0.4376 0.0000
Cu 0.0751 0.5000 0.9249
Cu 0.5000 0.5000 0.5000
Cu 0.5000 0.9249 0.0751
Cu 0.9249 0.0751 0.5000
I 0.0229 0.6432 0.7553
I 0.0894 0.9106 0.5000
I 0.2447 0.3568 0.9771
I 0.3384 0.6616 0.5000
I 0.3568 0.9771 0.2447
I 0.5000 0.0894 0.9106
I 0.5000 0.3384 0.6616
I 0.6432 0.7553 0.0229
I 0.6616 0.5000 0.3384
I 0.7553 0.0229 0.6432
I 0.9106 0.5000 0.0894
I 0.9771 0.2447 0.3568



(9)
Cs2CdCuI5 | PBE | relaxed

## Properties
**Formation energy without anion corrections**: -901 meV/atom
**Total energy**: -45.149 eV per cell

Cell lengths 11.4844, 11.4844, 15.6834 Å; angles 90.00, 90.00, 156.41 degrees
Fractional positions:
Cs 0.1240 0.8760 0.5000
Cs 0.1263 0.8737 0.1136
Cs 0.8737 0.1263 0.6136
Cs 0.8760 0.1240 0.0000
Cd 0.2073 0.7927 0.8182
Cd 0.7927 0.2073 0.3182
Cu 0.4210 0.5790 0.2156
Cu 0.5790 0.4210 0.7156
I 0.0770 0.9230 0.8030
I 0.2950 0.7050 0.4466
I 0.3027 0.6973 0.1767
I 0.3356 0.6644 0.8062
I 0.4938 0.5062 0.0891
I 0.5062 0.4938 0.5891
I 0.6644 0.3356 0.3062
I 0.6973 0.3027 0.6767
I 0.7050 0.2950 0.9466
I 0.9230 0.0770 0.3030



(10)
Cs3CdCu2I6 | PBE | relaxed

## Properties
**Formation energy without anion corrections**: -797 meV/atom
**Total energy**: -30.535 eV per cell

Cell lengths 8.7722, 8.7722, 9.9039 Å; angles 90.00, 90.00, 120.00 degrees
Fractional positions:
Cs 0.0000 0.0000 0.0000
Cs 0.3333 0.6667 0.6415
Cs 0.6667 0.3333 0.3585
Cd 0.0000 0.0000 0.5000
Cu 0.3333 0.6667 0.2742
Cu 0.6667 0.3333 0.7258
I 0.1674 0.3349 0.2944
I 0.1674 0.8326 0.2944
I 0.3349 0.1674 0.7056
I 0.6651 0.8326 0.2944
I 0.8326 0.1674 0.7056
I 0.8326 0.6651 0.7056



(11)
CsCdCuI4 | PBE | relaxed

## Properties
**Formation energy without anion corrections**: -721 meV/atom
**Total energy**: -34.221 eV per cell

Cell lengths 6.5202, 8.7407, 11.1322 Å; angles 90.00, 106.25, 90.00 degrees
Fractional positions:
Cs 0.2030 0.2500 0.3763
Cs 0.7970 0.7500 0.6237
Cd 0.3593 0.7500 0.1830
Cd 0.6407 0.2500 0.8170
Cu 0.1900 0.2500 0.7971
Cu 0.8100 0.7500 0.2029
I 0.0359 0.2500 0.9942
I 0.1926 0.7500 0.4005
I 0.3707 0.5137 0.7777
I 0.3707 0.9863 0.7777
I 0.6293 0.0137 0.2223
I 0.6293 0.4863 0.2223
I 0.8074 0.2500 0.5995
I 0.9641 0.7500 0.0058



(12)
Cs2CdCu2I6 | PBE | relaxed

## Properties
**Formation energy without anion corrections**: -746 meV/atom
**Total energy**: -28.319 eV per cell

Cell lengths 8.4414, 8.4414, 8.9294 Å; angles 115.03, 115.03, 58.92 degrees
Fractional positions:
Cs 0.2185 0.2185 0.2112
Cs 0.7815 0.7815 0.7888
Cd 0.0000 0.0000 0.5000
Cu 0.4307 0.4307 0.7235
Cu 0.5693 0.5693 0.2765
I 0.2088 0.7221 0.2281
I 0.2462 0.2462 0.6745
I 0.2779 0.7912 0.7719
I 0.7221 0.2088 0.2281
I 0.7538 0.7538 0.3255
I 0.7912 0.2779 0.7719



(13)
CsCd2InCu | PBE | relaxed

## Properties
**Total energy**: -9.148 eV per cell

Cell lengths 5.3667, 5.3667, 5.2328 Å; angles 90.00, 90.00, 90.00 degrees
Fractional positions:
Cs 0.0000 0.0000 0.0000
Cd 0.0000 0.5000 0.5000
Cd 0.5000 0.0000 0.5000
In 0.5000 0.5000 0.0000
Cu 0.5000 0.5000 0.5000



(14)
Cs2KCdCu | PBE | relaxed

## Properties
**Total energy**: -6.965 eV per cell

Cell lengths 7.0456, 7.0456, 5.3873 Å; angles 90.00, 90.00, 90.00 degrees
Fractional positions:
Cs 0.0000 0.5000 0.0000
Cs 0.5000 0.0000 0.0000
K 0.0000 0.0000 0.5000
Cd 0.5000 0.5000 0.5000
Cu 0.5000 0.5000 0.0000



(15)
CsKCd2Cu | PBE | relaxed

## Properties
**Total energy**: -7.302 eV per cell

Cell lengths 5.3863, 5.3863, 6.1018 Å; angles 90.00, 90.00, 90.00 degrees
Fractional positions:
Cs 0.0000 0.0000 0.0000
K 0.5000 0.5000 0.0000
Cd 0.0000 0.5000 0.5000
Cd 0.5000 0.0000 0.5000
Cu 0.5000 0.5000 0.5000



(16)
CsLiCd2Cu | PBE | relaxed

## Properties
**Total energy**: -8.242 eV per cell

Cell lengths 5.2739, 5.2739, 5.4129 Å; angles 90.00, 90.00, 90.00 degrees
Fractional positions:
Cs 0.0000 0.0000 0.0000
Li 0.5000 0.5000 0.0000
Cd 0.0000 0.5000 0.5000
Cd 0.5000 0.0000 0.5000
Cu 0.5000 0.5000 0.5000



(17)
CsNa2CdCu | PBE | relaxed

## Properties
**Total energy**: -7.881 eV per cell

Cell lengths 5.7940, 5.7940, 5.2842 Å; angles 90.00, 90.00, 90.00 degrees
Fractional positions:
Cs 0.0000 0.0000 0.0000
Na 0.0000 0.5000 0.5000
Na 0.5000 0.0000 0.5000
Cd 0.5000 0.5000 0.0000
Cu 0.5000 0.5000 0.5000



(18)
CsCdCuO2 | PBE | relaxed

## Properties
**Formation energy without anion corrections**: -963 meV/atom
**Total energy**: -41.196 eV per cell

Cell lengths 6.7177, 4.7943, 6.5880 Å; angles 90.00, 103.37, 90.00 degrees
Fractional positions:
Cs 0.0000 0.2286 0.2500
Cs 0.0000 0.7714 0.7500
Cd 0.5000 0.4804 0.7500
Cd 0.5000 0.5196 0.2500
Cu 0.5000 0.0000 0.0000
Cu 0.5000 0.0000 0.5000
O 0.3115 0.2853 0.9639
O 0.3115 0.7147 0.4639
O 0.6885 0.2853 0.5361
O 0.6885 0.7147 0.0361



(19)
CsCd2CuPt | PBE | relaxed

## Properties
**Total energy**: -12.918 eV per cell

Cell lengths 5.3651, 5.3651, 5.0723 Å; angles 90.00, 90.00, 90.00 degrees
Fractional positions:
Cs 0.0000 0.0000 0.0000
Cd 0.0000 0.5000 0.5000
Cd 0.5000 0.0000 0.5000
Cu 0.5000 0.5000 0.0000
Pt 0.5000 0.5000 0.5000



(20)
Cs2RbCdCu | PBE | relaxed

## Properties
**Total energy**: -6.802 eV per cell

Cell lengths 7.0964, 7.0964, 5.4313 Å; angles 90.00, 90.00, 90.00 degrees
Fractional positions:
Cs 0.0000 0.5000 0.0000
Cs 0.5000 0.0000 0.0000
Rb 0.0000 0.0000 0.5000
Cd 0.5000 0.5000 0.5000
Cu 0.5000 0.5000 0.0000



(21)
CsRbCd2Cu | PBE | relaxed

## Properties
**Total energy**: -7.006 eV per cell

Cell lengths 5.4277, 5.4277, 6.2508 Å; angles 90.00, 90.00, 90.00 degrees
Fractional positions:
Cs 0.0000 0.0000 0.0000
Rb 0.5000 0.5000 0.0000
Cd 0.0000 0.5000 0.5000
Cd 0.5000 0.0000 0.5000
Cu 0.5000 0.5000 0.5000



(22)
CsRb2CdCu | PBE | relaxed

## Properties
**Total energy**: -6.849 eV per cell

Cell lengths 6.8210, 6.8210, 5.4515 Å; angles 90.00, 90.00, 90.00 degrees
Fractional positions:
Cs 0.0000 0.0000 0.0000
Rb 0.0000 0.5000 0.5000
Rb 0.5000 0.0000 0.5000
Cd 0.5000 0.5000 0.0000
Cu 0.5000 0.5000 0.5000



(23)
CsCd2CuSn | PBE | relaxed

## Properties
**Total energy**: -10.303 eV per cell

Cell lengths 5.4136, 5.4136, 5.1832 Å; angles 90.00, 90.00, 90.00 degrees
Fractional positions:
Cs 0.0000 0.0000 0.0000
Cd 0.0000 0.5000 0.5000
Cd 0.5000 0.0000 0.5000
Cu 0.5000 0.5000 0.5000
Sn 0.5000 0.5000 0.0000



(24)
CsZnCd2Cu | PBE | relaxed

## Properties
**Total energy**: -7.535 eV per cell

Cell lengths 5.3304, 5.3304, 4.9901 Å; angles 90.00, 90.00, 90.00 degrees
Fractional positions:
Cs 0.0000 0.0000 0.0000
Zn 0.5000 0.5000 0.0000
Cd 0.0000 0.5000 0.5000
Cd 0.5000 0.0000 0.5000
Cu 0.5000 0.5000 0.5000



Number 1: magnetic moment 0.00 μB per cell. Number 2: magnetic moment 2.03 μB per cell. Number 3: magnetic moment 1.00 μB per cell. Number 4: magnetic moment 3.00 μB per cell. Number 5: magnetic moment 0.00 μB per cell. Number 6: magnetic moment 0.00 μB per cell. Number 7: magnetic moment 0.00 μB per cell. Number 8: magnetic moment 0.00 μB per cell. Number 9: magnetic moment 0.00 μB per cell. Number 10: magnetic moment 0.00 μB per cell. Number 11: magnetic moment 0.00 μB per cell. Number 12: magnetic moment 0.00 μB per cell. Number 13: magnetic moment 0.00 μB per cell. Number 14: magnetic moment 0.00 μB per cell. Number 15: magnetic moment 0.00 μB per cell. Number 16: magnetic moment 0.00 μB per cell. Number 17: magnetic moment 0.00 μB per cell. Number 18: magnetic moment 0.00 μB per cell. Number 19: magnetic moment 0.00 μB per cell. Number 20: magnetic moment 0.00 μB per cell. Number 21: magnetic moment 0.00 μB per cell. Number 22: magnetic moment 0.00 μB per cell. Number 23: magnetic moment 0.00 μB per cell. Number 24: magnetic moment 0.00 μB per cell.